(1)
Computed, not measured: Be2SnGeTe after structural relaxation at the PBE level of DFT.

Cell: 4.388 5.906 4.388 Å, 90.00 90.00 90.00°
Atoms (fractional coordinates):
Be (0.000, 0.000, 0.500)
Be (0.500, 0.000, 0.000)
Ge (0.000, 0.000, 0.000)
Te (0.000, 0.500, 0.000)
Sn (0.500, 0.500, 0.500)

spin magnetization: 0.00 μB/f.u.
E_tot: -16.228 eV per cell
symmetry: P4/mmm, No. 123

=====

(2)
Computed, not measured: YBeSnGe2 after structural relaxation at the PBE level of DFT.

Cell: 5.372 5.101 5.372 Å, 90.00 90.00 90.00°
Atoms (fractional coordinates):
Y (0.000, 0.000, 0.000)
Be (0.000, 0.500, 0.000)
Ge (0.000, 0.000, 0.500)
Ge (0.500, 0.000, 0.000)
Sn (0.500, 0.500, 0.500)

spin magnetization: 0.00 μB/f.u.
E_tot: -18.669 eV per cell
ΔH_f (0 K): 4.76 eV/f.u.
symmetry: P4/mmm, No. 123

=====

(3)
Computed, not measured: Sr2BeGe after structural relaxation at the PBE level of DFT.

Cell: 5.378 5.378 5.378 Å, 60.00 60.00 60.00°
Atoms (fractional coordinates):
Sr (0.250, 0.250, 0.250)
Sr (0.750, 0.750, 0.750)
Ge (0.500, 0.500, 0.500)
Be (0.000, 0.000, 0.000)

spin magnetization: 0.00 μB/f.u.
E_tot: -11.723 eV per cell
ΔH_f (0 K): -0.02 eV/f.u.
E above lowest polymorph: 0 meV/atom
symmetry: Fm-3m, No. 225